1.
Material: CdTcIN2
Method: DFT, GGA-PBE
State: optimized geometry

space-group type: P4/mmm (123)
E: -3.41 eV/atom
Fermi-level density of states: 9.62 states/eV/cell
formation energy (no corrections): 2.487 eV per atom
distance to the lowest polymorph of the same formula: 1763.8 meV/atom

Unit cell a=4.0972 b=4.0972 c=6.0550 alpha=90.00 beta=90.00 gamma=90.00
Closest atoms and distances in Å follow each position.
Sites, in units of the cell vectors:
Cd: 0.0000 0.0000 0.0000  4 N 2.05
Tc: 0.5000 0.5000 0.5000  4 I 2.90
I: 0.0000 0.0000 0.5000  4 Tc 2.90, 2 Cd 3.03
N: 0.0000 0.5000 0.0000  2 Cd 2.05
N: 0.5000 0.0000 0.0000  2 Cd 2.05



2.
Material: CdTcIN2
Method: DFT, GGA-PBE
State: optimized geometry

space-group type: P4/mmm (123)
E: -3.70 eV/atom
Fermi-level density of states: 4.72 states/eV/cell
formation energy (no corrections): 2.192 eV per atom
distance to the lowest polymorph of the same formula: 1468.0 meV/atom

Unit cell a=4.1507 b=4.1507 c=5.3029 alpha=90.00 beta=90.00 gamma=90.00
Closest atoms and distances in Å follow each position.
Sites, in units of the cell vectors:
Cd: 0.0000 0.0000 0.0000  4 Tc 2.93
Tc: 0.5000 0.5000 0.0000  2 I 2.65, 4 Cd 2.93
I: 0.5000 0.5000 0.5000  4 N 2.08
N: 0.0000 0.5000 0.5000  2 I 2.08
N: 0.5000 0.0000 0.5000  2 I 2.08



3.
Material: CdTcIN2
Method: DFT, GGA-PBE
State: optimized geometry

space-group type: P4/mmm (123)
E: -5.17 eV/atom
Fermi-level density of states: 2.12 states/eV/cell
formation energy (no corrections): 0.724 eV per atom
distance to the lowest polymorph of the same formula: 0.0 meV/atom

Unit cell a=3.9839 b=3.9839 c=5.7640 alpha=90.00 beta=90.00 gamma=90.00
Closest atoms and distances in Å follow each position.
Sites, in units of the cell vectors:
Cd: 0.0000 0.0000 0.0000  4 I 2.82
Tc: 0.5000 0.5000 0.5000  4 N 1.99
I: 0.5000 0.5000 0.0000  4 Cd 2.82, 2 Tc 2.88
N: 0.0000 0.5000 0.5000  2 Tc 1.99
N: 0.5000 0.0000 0.5000  2 Tc 1.99



4.
Material: CdTe2IN
Method: DFT, GGA-PBE
State: optimized geometry

space-group type: P4/mmm (123)
E: -2.68 eV/atom
Fermi-level density of states: 3.80 states/eV/cell
formation energy (no corrections): 0.732 eV per atom
distance to the lowest polymorph of the same formula: 0.0 meV/atom

Unit cell a=4.9832 b=4.9832 c=4.8342 alpha=90.00 beta=90.00 gamma=90.00
Closest atoms and distances in Å follow each position.
Sites, in units of the cell vectors:
Cd: 0.0000 0.0000 0.0000  8 Te 3.47, 4 I 3.52
Te: 0.0000 0.5000 0.5000  2 N 2.49
Te: 0.5000 0.0000 0.5000  2 N 2.49
I: 0.5000 0.5000 0.0000  2 N 2.42
N: 0.5000 0.5000 0.5000  2 I 2.42, 4 Te 2.49



5.
Material: CdTeIN2
Method: DFT, GGA-PBE
State: optimized geometry

space-group type: P4/mmm (123)
E: -2.81 eV/atom
Fermi-level density of states: 3.01 states/eV/cell
formation energy (no corrections): 1.637 eV per atom
distance to the lowest polymorph of the same formula: 405.0 meV/atom

Unit cell a=4.4929 b=4.4929 c=6.7007 alpha=90.00 beta=90.00 gamma=90.00
Closest atoms and distances in Å follow each position.
Sites, in units of the cell vectors:
Cd: 0.0000 0.0000 0.0000  4 N 2.25
Te: 0.5000 0.5000 0.5000  4 I 3.18
I: 0.0000 0.0000 0.5000  4 Te 3.18, 2 Cd 3.35
N: 0.0000 0.5000 0.0000  2 Cd 2.25
N: 0.5000 0.0000 0.0000  2 Cd 2.25



6.
Material: CdTe2IN
Method: DFT, GGA-PBE
State: optimized geometry

space-group type: P4/mmm (123)
E: -2.31 eV/atom
Fermi-level density of states: 3.02 states/eV/cell
formation energy (no corrections): 1.103 eV per atom
distance to the lowest polymorph of the same formula: 371.6 meV/atom

Unit cell a=6.0920 b=6.0920 c=3.9328 alpha=90.00 beta=90.00 gamma=90.00
Closest atoms and distances in Å follow each position.
Sites, in units of the cell vectors:
Cd: 0.0000 0.0000 0.0000  8 Te 3.63, 2 Cd 3.93
Te: 0.0000 0.5000 0.5000  2 I 3.05
Te: 0.5000 0.0000 0.5000  2 I 3.05
I: 0.5000 0.5000 0.5000  2 N 1.97
N: 0.5000 0.5000 0.0000  2 I 1.97



7.
Material: CdTe2IN
Method: DFT, GGA-PBE
State: optimized geometry

space-group type: P4/mmm (123)
E: -2.29 eV/atom
Fermi-level density of states: 7.46 states/eV/cell
formation energy (no corrections): 1.127 eV per atom
distance to the lowest polymorph of the same formula: 395.0 meV/atom

Unit cell a=5.8832 b=5.8832 c=4.0816 alpha=90.00 beta=90.00 gamma=90.00
Closest atoms and distances in Å follow each position.
Sites, in units of the cell vectors:
Cd: 0.0000 0.0000 0.0000  2 N 2.04
Te: 0.0000 0.5000 0.0000  2 Cd 2.94
Te: 0.5000 0.0000 0.0000  2 Cd 2.94
I: 0.5000 0.5000 0.5000  8 Te 3.58
N: 0.0000 0.0000 0.5000  2 Cd 2.04



8.
Material: CdTe2IN
Method: DFT, GGA-PBE
State: optimized geometry

space-group type: P4/mmm (123)
E: -1.66 eV/atom
Fermi-level density of states: 12.64 states/eV/cell
formation energy (no corrections): 1.752 eV per atom
distance to the lowest polymorph of the same formula: 1020.7 meV/atom

Unit cell a=5.6334 b=5.6334 c=5.6663 alpha=90.00 beta=90.00 gamma=90.00
Closest atoms and distances in Å follow each position.
Sites, in units of the cell vectors:
Cd: 0.0000 0.0000 0.0000  4 Te 2.82, 2 I 2.83
Te: 0.0000 0.5000 0.0000  2 Cd 2.82
Te: 0.5000 0.0000 0.0000  2 Cd 2.82
I: 0.0000 0.0000 0.5000  2 Cd 2.83
N: 0.5000 0.5000 0.5000  4 I 3.98, 8 Te 4.00



9.
Material: CdTeIN2
Method: DFT, GGA-PBE
State: optimized geometry

space-group type: P4/mmm (123)
E: -3.22 eV/atom
Fermi-level density of states: 2.29 states/eV/cell
formation energy (no corrections): 1.232 eV per atom
distance to the lowest polymorph of the same formula: 0.0 meV/atom

Unit cell a=4.1495 b=4.1495 c=7.7076 alpha=90.00 beta=90.00 gamma=90.00
Closest atoms and distances in Å follow each position.
Sites, in units of the cell vectors:
Cd: 0.0000 0.0000 0.0000  4 I 2.93
Te: 0.5000 0.5000 0.5000  4 N 2.07
I: 0.5000 0.5000 0.0000  4 Cd 2.93
N: 0.0000 0.5000 0.5000  2 Te 2.07
N: 0.5000 0.0000 0.5000  2 Te 2.07



10.
Material: CdTeIN2
Method: DFT, GGA-PBE
State: optimized geometry

space-group type: P4/mmm (123)
E: -2.87 eV/atom
Fermi-level density of states: 2.18 states/eV/cell
formation energy (no corrections): 1.582 eV per atom
distance to the lowest polymorph of the same formula: 350.3 meV/atom

Unit cell a=4.5083 b=4.5083 c=6.4659 alpha=90.00 beta=90.00 gamma=90.00
Closest atoms and distances in Å follow each position.
Sites, in units of the cell vectors:
Cd: 0.0000 0.0000 0.0000  4 N 2.25
Te: 0.0000 0.0000 0.5000  4 I 3.19, 2 Cd 3.23
I: 0.5000 0.5000 0.5000  4 Te 3.19
N: 0.0000 0.5000 0.0000  2 Cd 2.25
N: 0.5000 0.0000 0.0000  2 Cd 2.25



11.
Material: CdTeIN2
Method: DFT, GGA-PBE
State: optimized geometry

space-group type: P4/mmm (123)
E: -2.85 eV/atom
Fermi-level density of states: 3.66 states/eV/cell
formation energy (no corrections): 1.598 eV per atom
distance to the lowest polymorph of the same formula: 366.4 meV/atom

Unit cell a=4.0800 b=4.0800 c=7.5934 alpha=90.00 beta=90.00 gamma=90.00
Closest atoms and distances in Å follow each position.
Sites, in units of the cell vectors:
Cd: 0.0000 0.0000 0.0000  4 Te 2.88
Te: 0.5000 0.5000 0.0000  4 Cd 2.88
I: 0.5000 0.5000 0.5000  4 N 2.04
N: 0.0000 0.5000 0.5000  2 I 2.04
N: 0.5000 0.0000 0.5000  2 I 2.04



12.
Material: TiCdIN2
Method: DFT, GGA-PBE
State: optimized geometry

space-group type: P4/mmm (123)
E: -5.05 eV/atom
Fermi-level density of states: 1.47 states/eV/cell
formation energy (no corrections): 0.351 eV per atom
distance to the lowest polymorph of the same formula: 0.0 meV/atom

Unit cell a=4.0214 b=4.0214 c=5.9127 alpha=90.00 beta=90.00 gamma=90.00
Closest atoms and distances in Å follow each position.
Sites, in units of the cell vectors:
Ti: 0.0000 0.0000 0.0000  4 N 2.01
Cd: 0.5000 0.5000 0.5000  4 I 2.84
I: 0.0000 0.0000 0.5000  4 Cd 2.84, 2 Ti 2.96
N: 0.0000 0.5000 0.0000  2 Ti 2.01
N: 0.5000 0.0000 0.0000  2 Ti 2.01